(1)
First-principles (PBE) data for an optimized crystal structure of Dy6P2HS3, as listed in Alexandria.

As for the energy: -6.1088 eV per atom. The calculation puts the total magnetization at 0.00 μB/f.u. The density of states at the Fermi level is 0.4420 states/eV per atom.

Cell lengths 16.994, 3.933, 7.783 Å; angles 90.00, 104.13, 90.00 degrees
Space group C2/m (No. 12)
Inequivalent atoms, fractional coordinates:
Dy 0.001 0.000 0.248 x4
Dy 0.167 0.500 0.586 x4
Dy 0.169 0.500 0.079 x4
P 0.163 0.000 0.828 x4
H 0.000 0.500 0.500 x2
S 0.000 0.500 0.000 x2
S 0.168 0.000 0.334 x4


(2)
First-principles (PBE) data for an optimized crystal structure of DyPaH, as listed in Alexandria.

As for the energy: -5.5010 eV per atom. The calculation puts the total magnetization at 0.01 μB/f.u. The density of states at the Fermi level is 1.4705 states/eV per atom.

Cell lengths 6.549, 5.580, 6.546 Å; angles 90.00, 90.00, 90.00 degrees
Space group Pnma (No. 62)
Inequivalent atoms, fractional coordinates:
Dy 0.120 0.250 0.005 x4
Pa 0.105 0.250 0.499 x4
H 0.138 0.750 0.753 x4


(3)
First-principles (PBE) data for an optimized crystal structure of Dy3HPb, as listed in Alexandria.

As for the energy: -4.5133 eV per atom. The calculation puts the distance to the lowest polymorph of the same formula at 0.029 eV/atom. The calculation puts the total magnetization at 0.00 μB/f.u. The density of states at the Fermi level is 0.9263 states/eV per atom.

Cell lengths 6.607, 3.589, 10.449 Å; angles 90.00, 99.11, 90.00 degrees
Space group P2_1/m (No. 11)
Inequivalent atoms, fractional coordinates:
Dy 0.084 0.250 0.366 x2
Dy 0.226 0.250 0.899 x2
Dy 0.400 0.750 0.635 x2
H 0.173 0.250 0.675 x2
Pb 0.289 0.750 0.157 x2


(4)
First-principles (PBE) data for an optimized crystal structure of Dy3HPb, as listed in Alexandria.

As for the energy: -4.5425 eV per atom. The calculation puts the distance to the lowest polymorph of the same formula at 0.000 eV/atom. The calculation puts the total magnetization at 0.71 μB/f.u. The density of states at the Fermi level is 1.2483 states/eV per atom.

Cell lengths 4.842, 4.842, 4.842 Å; angles 90.00, 90.00, 90.00 degrees
Space group Pm-3m (No. 221)
Inequivalent atoms, fractional coordinates:
Dy 0.000 0.000 0.500 x3
H 0.000 0.000 0.000 x1
Pb 0.500 0.500 0.500 x1


(5)
First-principles (PBE) data for an optimized crystal structure of Dy5HPb4, as listed in Alexandria.

As for the energy: -4.3900 eV per atom. The calculation puts the total magnetization at 0.00 μB/f.u. The density of states at the Fermi level is 0.6940 states/eV per atom.

Cell lengths 9.637, 9.637, 6.243 Å; angles 90.00, 90.00, 90.00 degrees
Space group I4 (No. 79)
Inequivalent atoms, fractional coordinates:
Dy 0.000 0.000 0.000 x2
Dy 0.099 0.719 0.563 x8
H 0.000 0.000 0.629 x2
Pb 0.091 0.697 0.065 x8


(6)
First-principles (PBE) data for an optimized crystal structure of Dy4HPb2, as listed in Alexandria.

As for the energy: -4.6331 eV per atom. The calculation puts the distance to the lowest polymorph of the same formula at 0.015 eV/atom. The calculation puts the total magnetization at 0.42 μB/f.u. The density of states at the Fermi level is 0.9029 states/eV per atom.

Cell lengths 4.585, 4.585, 16.925 Å; angles 90.00, 90.00, 90.00 degrees
Space group I4/mmm (No. 139)
Inequivalent atoms, fractional coordinates:
Dy 0.000 0.000 0.176 x4
Dy 0.000 0.500 0.000 x4
H 0.000 0.000 0.000 x2
Pb 0.000 0.000 0.361 x4